CeNiGeH2, relaxed, DFT PBE-GGA; V = 12.24 A^3/atom; symmetry = Cmcm; uncorrected energy = -5.13 eV/atom
1.0
1.949 -5.277 0.000
1.949 5.277 0.000
0.000 0.000 5.948
Ce Ni Ge H
2 2 2 4
direct
0.212 0.788 0.750
0.788 0.212 0.250
0.500 0.500 0.000
0.500 0.500 0.500
0.069 0.931 0.250
0.931 0.069 0.750
0.348 0.652 0.058
0.348 0.652 0.442
0.652 0.348 0.558
0.652 0.348 0.942

=====

CeNi2Ge2H, relaxed, DFT PBE-GGA; V = 14.10 A^3/atom; symmetry = P4/mmm; uncorrected energy = -5.51 eV/atom
1.0
3.997 0.000 0.000
0.000 3.997 0.000
0.000 0.000 5.295
Ce Ni Ge H
1 2 2 1
direct
0.000 0.000 0.000
0.000 0.500 0.500
0.500 0.000 0.500
0.500 0.500 0.237
0.500 0.500 0.763
0.000 0.000 0.500

=====

CeNi2GeH, relaxed, DFT PBE-GGA; V = 13.79 A^3/atom; symmetry = Cmcm; uncorrected energy = -5.66 eV/atom
1.0
2.000 -5.272 0.000
2.000 5.272 0.000
0.000 0.000 6.541
Ce Ni Ge H
2 4 2 2
direct
0.075 0.925 0.750
0.925 0.075 0.250
0.341 0.659 0.553
0.341 0.659 0.947
0.659 0.341 0.053
0.659 0.341 0.447
0.209 0.791 0.250
0.791 0.209 0.750
0.500 0.500 0.000
0.500 0.500 0.500

=====

CeGeH2Os, relaxed, DFT PBE-GGA; V = 12.68 A^3/atom; symmetry = Cmcm; uncorrected energy = -6.18 eV/atom
1.0
2.038 -5.265 0.000
2.038 5.265 0.000
0.000 0.000 5.907
Ce Ge H Os
2 2 4 2
direct
0.203 0.797 0.750
0.797 0.203 0.250
0.082 0.918 0.250
0.918 0.082 0.750
0.339 0.661 0.064
0.339 0.661 0.436
0.661 0.339 0.564
0.661 0.339 0.936
0.500 0.500 0.000
0.500 0.500 0.500

=====

Ce2Ge2HOs2, relaxed, DFT PBE-GGA; V = 17.83 A^3/atom; symmetry = C2/m; uncorrected energy = -7.09 eV/atom
1.0
5.354 -2.188 0.000
5.354 2.188 0.000
-4.412 0.000 5.327
Ce Ge H Os
2 2 1 2
direct
0.052 0.052 0.322
0.948 0.948 0.678
0.339 0.339 0.884
0.661 0.661 0.116
0.500 0.500 0.500
0.290 0.290 0.199
0.710 0.710 0.801

=====

CeGeHPd, relaxed, DFT PBE-GGA; V = 16.20 A^3/atom; symmetry = P3m1; uncorrected energy = -5.51 eV/atom
1.0
4.436 0.000 0.000
-2.218 3.842 0.000
0.000 0.000 3.802
Ce Ge H Pd
1 1 1 1
direct
0.000 0.000 0.000
0.333 0.667 0.502
0.667 0.333 0.999
0.667 0.333 0.499

=====

Ce2GeHPd6, relaxed, DFT PBE-GGA; V = 17.31 A^3/atom; symmetry = C2/m; uncorrected energy = -5.74 eV/atom
1.0
4.955 -2.861 0.000
4.955 2.861 0.000
-3.318 0.000 6.103
Ce Ge H Pd
2 1 1 6
direct
0.228 0.228 0.184
0.772 0.772 0.816
0.500 0.500 0.000
0.000 0.000 0.500
0.229 0.229 0.689
0.229 0.733 0.690
0.267 0.771 0.310
0.733 0.229 0.690
0.771 0.267 0.310
0.771 0.771 0.311

=====

CeGeHPd2, relaxed, DFT PBE-GGA; V = 16.28 A^3/atom; symmetry = Cmcm; uncorrected energy = -5.55 eV/atom
1.0
2.050 -5.440 0.000
2.050 5.440 0.000
0.000 0.000 7.301
Ce Ge H Pd
2 2 2 4
direct
0.063 0.937 0.750
0.937 0.063 0.250
0.221 0.779 0.250
0.779 0.221 0.750
0.500 0.500 0.000
0.500 0.500 0.500
0.340 0.660 0.554
0.340 0.660 0.946
0.660 0.340 0.054
0.660 0.340 0.446

=====

Ce4Pm2Ge3H2, relaxed, DFT PBE-GGA; V = 22.58 A^3/atom; symmetry = I4/mmm; uncorrected energy = -5.45 eV/atom
1.0
-2.245 2.245 12.321
2.245 -2.245 12.321
2.245 2.245 -12.321
Ce Pm Ge H
4 2 3 2
direct
0.081 0.581 0.500
0.419 0.919 0.500
0.581 0.081 0.500
0.919 0.419 0.500
0.203 0.203 0.000
0.797 0.797 0.000
0.329 0.329 0.000
0.500 0.500 0.000
0.671 0.671 0.000
0.109 0.109 0.000
0.891 0.891 0.000

=====

CePmGeH, relaxed, DFT PBE-GGA; V = 21.47 A^3/atom; symmetry = F-43m; uncorrected energy = -5.03 eV/atom; distance to the lowest polymorph of the same formula = 0.307 eV/atom
1.0
0.000 3.502 3.502
3.502 0.000 3.502
3.502 3.502 0.000
Ce Pm Ge H
1 1 1 1
direct
0.000 0.000 0.000
0.500 0.500 0.500
0.250 0.250 0.250
0.750 0.750 0.750